Run P
Computed, not measured: a relaxed Pm2PCl crystal at the GGA-PBE level of DFT.

a b c (Å): 4.0258 4.0258 21.6994
angles (deg): 90.00 90.00 120.00
Space group R3m (No. 160, hexagonal axes)
Asymmetric unit:
Pm  0.0000  0.0000  0.0000 (multiplicity 3)
Pm  0.0000  0.0000  0.1923 (multiplicity 3)
P  0.0000  0.0000  0.5949 (multiplicity 3)
Cl  0.0000  0.0000  0.7645 (multiplicity 3)

Run Q
Computed, not measured: a relaxed Pm2PCl crystal at the GGA-PBE level of DFT.

a b c (Å): 4.9616 4.9616 3.6359
angles (deg): 90.00 90.00 90.00
Space group P4/mmm (No. 123)
Asymmetric unit:
Pm  0.0000  0.5000  0.0000 (multiplicity 2)
P  0.0000  0.0000  0.5000 (multiplicity 1)
Cl  0.5000  0.5000  0.5000 (multiplicity 1)

Run R
Computed, not measured: a relaxed Pm2PCl crystal at the GGA-PBE level of DFT.

a b c (Å): 4.0323 7.1486 7.1494
angles (deg): 90.00 90.00 90.00
Space group Pmmn (No. 59, origin choice 2)
Asymmetric unit:
Pm  0.2500  0.0036  0.2175 (multiplicity 4)
P  0.2500  0.7500  0.9072 (multiplicity 2)
Cl  0.2500  0.2500  0.5749 (multiplicity 2)

run P is the most stable structure; the next one sits 126 meV per atom above it.

Run P
Computed, not measured: a relaxed Pm2PCl crystal at the GGA-PBE level of DFT.

a b c (Å): 7.0903 7.0903 7.0903
angles (deg): 90.00 90.00 90.00
Space group Fm-3m (No. 225)
Asymmetric unit:
Pm  0.2500  0.2500  0.2500 (multiplicity 8)
P  0.0000  0.0000  0.0000 (multiplicity 4)
Cl  0.0000  0.0000  0.5000 (multiplicity 4)

Run Q
Computed, not measured: a relaxed Pm2PCl crystal at the GGA-PBE level of DFT.

a b c (Å): 4.1152 4.1152 20.5869
angles (deg): 90.00 90.00 120.00
Space group R-3m (No. 166, hexagonal axes)
Asymmetric unit:
Pm  0.0000  0.0000  0.2379 (multiplicity 6)
P  0.0000  0.0000  0.5000 (multiplicity 3)
Cl  0.0000  0.0000  0.0000 (multiplicity 3)

run Q is the most stable structure; the next one sits 272 meV per atom above it.

Run P
Computed, not measured: a relaxed P2PtCl crystal at the GGA-PBE level of DFT.

a b c (Å): 3.3256 8.0570 7.9536
angles (deg): 90.00 90.00 90.00
Space group Cmm2 (No. 35)
Asymmetric unit:
P  0.0000  0.0000  0.0000 (multiplicity 2)
P  0.0000  0.5000  0.1747 (multiplicity 2)
Pt  0.0000  0.5000  0.7996 (multiplicity 2)
Cl  0.0000  0.0000  0.5750 (multiplicity 2)

Run Q
Computed, not measured: a relaxed P2PtCl crystal at the GGA-PBE level of DFT.

a b c (Å): 6.5242 3.8548 7.0567
angles (deg): 90.00 107.78 90.00
Space group C2/m (No. 12)
Asymmetric unit:
P  0.1121  0.0000  0.3502 (multiplicity 4)
Pt  0.0000  0.5000  0.5000 (multiplicity 2)
Cl  0.0000  0.0000  0.0000 (multiplicity 2)

run Q is the most stable structure; the next one sits 512 meV per atom above it.

Run P
Computed, not measured: a relaxed P2PtCl crystal at the GGA-PBE level of DFT.

a b c (Å): 8.2787 3.2451 6.2857
angles (deg): 90.00 97.35 90.00
Space group Cm (No. 8)
Asymmetric unit:
P  0.0000  0.0000  0.0000 (multiplicity 2)
P  0.1658  0.5000  0.1610 (multiplicity 2)
Pt  0.2769  0.0000  0.9035 (multiplicity 2)
Cl  0.2758  0.0000  0.5097 (multiplicity 2)

Run Q
Computed, not measured: a relaxed P2PtCl crystal at the GGA-PBE level of DFT.

a b c (Å): 2.9057 2.9057 9.4231
angles (deg): 90.00 90.00 90.00
Space group P4/mmm (No. 123)
Asymmetric unit:
P  0.0000  0.0000  0.1689 (multiplicity 2)
Pt  0.5000  0.5000  0.0000 (multiplicity 1)
Cl  0.5000  0.5000  0.5000 (multiplicity 1)

Run R
Computed, not measured: a relaxed P2PtCl crystal at the GGA-PBE level of DFT.

a b c (Å): 3.7752 3.7752 18.7543
angles (deg): 90.00 90.00 120.00
Space group R-3m (No. 166, hexagonal axes)
Asymmetric unit:
P  0.0000  0.0000  0.2220 (multiplicity 6)
Pt  0.0000  0.0000  0.5000 (multiplicity 3)
Cl  0.0000  0.0000  0.0000 (multiplicity 3)

run R is the most stable structure; the next one sits 135 meV per atom above it.

Run P
Computed, not measured: a relaxed P2PtCl crystal at the GGA-PBE level of DFT.

a b c (Å): 4.5357 3.6225 5.8504
angles (deg): 90.00 98.23 90.00
Space group Pm (No. 6)
Asymmetric unit:
P  0.0000  0.0000  0.0000 (multiplicity 1)
P  0.3024  0.5000  0.0422 (multiplicity 1)
Pt  0.5007  0.0000  0.8645 (multiplicity 1)
Cl  0.4975  0.5000  0.3902 (multiplicity 1)

Run Q
Computed, not measured: a relaxed P2PtCl crystal at the GGA-PBE level of DFT.

a b c (Å): 6.0263 6.0263 10.4067
angles (deg): 90.00 90.00 90.00
Space group I-42d (No. 122)
Asymmetric unit:
P  0.1789  0.2500  0.1250 (multiplicity 8)
Pt  0.0000  0.0000  0.0000 (multiplicity 4)
Cl  0.0000  0.0000  0.5000 (multiplicity 4)

Run R
Computed, not measured: a relaxed P2PtCl crystal at the GGA-PBE level of DFT.

a b c (Å): 2.9104 4.7108 10.2072
angles (deg): 90.00 90.00 90.00
Space group Immm (No. 71)
Asymmetric unit:
P  0.0000  0.0000  0.1991 (multiplicity 4)
Pt  0.0000  0.5000  0.5000 (multiplicity 2)
Cl  0.0000  0.5000  0.0000 (multiplicity 2)

run P is the most stable structure; the next one sits 199 meV per atom above it.

Run P
Computed, not measured: a relaxed P2PtCl crystal at the GGA-PBE level of DFT.

a b c (Å): 3.4700 3.7296 11.9747
angles (deg): 90.00 90.00 90.00
Space group Imm2 (No. 44)
Asymmetric unit:
P  0.0000  0.0000  0.0000 (multiplicity 2)
P  0.0000  0.5000  0.1143 (multiplicity 2)
Pt  0.0000  0.5000  0.6443 (multiplicity 2)
Cl  0.0000  0.0000  0.3250 (multiplicity 2)

Run Q
Computed, not measured: a relaxed P2PtCl crystal at the GGA-PBE level of DFT.

a b c (Å): 3.2144 3.2144 6.9606
angles (deg): 90.00 90.00 90.00
Space group P4mm (No. 99)
Asymmetric unit:
P  0.0000  0.0000  0.0000 (multiplicity 1)
P  0.5000  0.5000  0.1389 (multiplicity 1)
Pt  0.0000  0.0000  0.3405 (multiplicity 1)
Cl  0.5000  0.5000  0.5996 (multiplicity 1)

Run R
Computed, not measured: a relaxed P2PtCl crystal at the GGA-PBE level of DFT.

a b c (Å): 6.2789 6.2789 6.2789
angles (deg): 90.00 90.00 90.00
Space group Fm-3m (No. 225)
Asymmetric unit:
P  0.2500  0.2500  0.2500 (multiplicity 8)
Pt  0.0000  0.0000  0.0000 (multiplicity 4)
Cl  0.0000  0.0000  0.5000 (multiplicity 4)

Run S
Computed, not measured: a relaxed P2PtCl crystal at the GGA-PBE level of DFT.

a b c (Å): 4.4762 4.4762 6.3148
angles (deg): 90.00 90.00 90.00
Space group I-4m2 (No. 119)
Asymmetric unit:
P  0.0000  0.0000  0.0000 (multiplicity 2)
P  0.0000  0.5000  0.2500 (multiplicity 2)
Pt  0.0000  0.0000  0.5000 (multiplicity 2)
Cl  0.0000  0.5000  0.7500 (multiplicity 2)

run P is the most stable structure; the next one sits 237 meV per atom above it.

Run P
Computed, not measured: a relaxed RbPPtCl2 crystal at the GGA-PBE level of DFT.

a b c (Å): 5.4721 5.4721 4.4417
angles (deg): 90.00 90.00 90.00
Space group P4/mmm (No. 123)
Asymmetric unit:
Rb  0.0000  0.0000  0.0000 (multiplicity 1)
P  0.5000  0.5000  0.0000 (multiplicity 1)
Pt  0.5000  0.5000  0.5000 (multiplicity 1)
Cl  0.0000  0.5000  0.5000 (multiplicity 2)

Run Q
Computed, not measured: a relaxed RbPPtCl2 crystal at the GGA-PBE level of DFT.

a b c (Å): 6.0028 6.0028 6.4115
angles (deg): 90.00 90.00 90.00
Space group P4/mmm (No. 123)
Asymmetric unit:
Rb  0.0000  0.0000  0.0000 (multiplicity 1)
P  0.0000  0.0000  0.5000 (multiplicity 1)
Pt  0.5000  0.5000  0.5000 (multiplicity 1)
Cl  0.0000  0.5000  0.0000 (multiplicity 2)

run P is the most stable structure; the next one sits 1725 meV per atom above it.

Run P
Computed, not measured: a relaxed PPtRhCl2 crystal at the GGA-PBE level of DFT.

a b c (Å): 4.7652 4.7652 4.5279
angles (deg): 90.00 90.00 90.00
Space group P4/mmm (No. 123)
Asymmetric unit:
P  0.0000  0.0000  0.0000 (multiplicity 1)
Pt  0.5000  0.5000  0.0000 (multiplicity 1)
Rh  0.0000  0.0000  0.5000 (multiplicity 1)
Cl  0.0000  0.5000  0.5000 (multiplicity 2)

Run Q
Computed, not measured: a relaxed PPtRhCl2 crystal at the GGA-PBE level of DFT.

a b c (Å): 4.9869 4.9869 4.5206
angles (deg): 90.00 90.00 90.00
Space group P4/mmm (No. 123)
Asymmetric unit:
P  0.0000  0.0000  0.0000 (multiplicity 1)
Pt  0.0000  0.0000  0.5000 (multiplicity 1)
Rh  0.5000  0.5000  0.0000 (multiplicity 1)
Cl  0.0000  0.5000  0.5000 (multiplicity 2)

run P is the most stable structure; the next one sits 83 meV per atom above it.